No. 1
Density functional theory data (GGA-PBE) for a geometry-optimized Sc3BPd structure.

Properties
* size of the total moment: 0.00 μB per formula unit
* ΔH_f (0 K): -284 meV per atom
* raw total energy: -6.46 eV/atom

Unit cell a=4.601 b=4.601 c=4.601 alpha=90.00 beta=90.00 gamma=90.00
Fractional positions:
Sc1 0.000 0.500 0.000
Sc2 0.000 0.000 0.500
Sc3 0.500 0.000 0.000
B1 0.000 0.000 0.000
Pd1 0.500 0.500 0.500

No. 2
Density functional theory data (GGA-PBE) for a geometry-optimized Sc2BPd structure.

Properties
* size of the total moment: 0.43 μB per formula unit
* ΔH_f (0 K): 592 meV per atom
* raw total energy: -5.54 eV/atom

Unit cell a=8.669 b=8.669 c=8.669 alpha=22.75 beta=22.75 gamma=22.75
Site moments in Bohr magnetons follow the coordinates.
Fractional positions:
Sc1 0.907 0.907 0.907  0.10
Sc2 0.093 0.093 0.093  0.10
B1 0.000 0.000 0.000  0.13
Pd1 0.500 0.500 0.500  -0.01

No. 3
Density functional theory data (GGA-PBE) for a geometry-optimized ScBPd2 structure.

Properties
* size of the total moment: 0.00 μB per formula unit
* ΔH_f (0 K): -381 meV per atom
* raw total energy: -6.23 eV/atom

Unit cell a=6.897 b=6.897 c=5.530 alpha=51.41 beta=51.41 gamma=90.00
Fractional positions:
Sc1 0.000 0.000 0.000
Sc2 0.750 0.250 0.500
B1 0.500 0.500 0.000
B2 0.250 0.750 0.500
Pd1 0.517 0.125 0.250
Pd2 0.233 0.625 0.250
Pd3 0.375 0.483 0.750
Pd4 0.875 0.767 0.750

No. 4
Density functional theory data (GGA-PBE) for a geometry-optimized ScTlB2Pd structure.

Properties
* size of the total moment: 0.00 μB per formula unit
* ΔH_f (0 K): 1612 meV per atom
* raw total energy: -3.84 eV/atom

Unit cell a=4.388 b=5.576 c=4.388 alpha=90.00 beta=90.00 gamma=90.00
Fractional positions:
Sc1 0.000 0.000 0.000
Tl1 0.000 0.500 0.000
B1 0.000 0.000 0.500
B2 0.500 0.000 0.000
Pd1 0.500 0.500 0.500

No. 5
Density functional theory data (GGA-PBE) for a geometry-optimized ScVB2Pd structure.

Properties
* size of the total moment: 0.00 μB per formula unit
* ΔH_f (0 K): 1128 meV per atom
* raw total energy: -5.67 eV/atom

Unit cell a=4.048 b=4.869 c=4.048 alpha=90.00 beta=90.00 gamma=90.00
Fractional positions:
Sc1 0.000 0.500 0.000
B1 0.000 0.000 0.500
B2 0.500 0.000 0.000
Pd1 0.000 0.000 0.000
V1 0.500 0.500 0.500

No. 6
Density functional theory data (GGA-PBE) for a geometry-optimized BPd3Se structure.

Properties
* size of the total moment: 0.00 μB per formula unit
* E_form (uncorrected): -0.033 eV per atom
* raw total energy: -5.18 eV/atom

Unit cell a=4.231 b=4.231 c=4.231 alpha=90.00 beta=90.00 gamma=90.00
Fractional positions:
B1 0.000 0.000 0.000
Se1 0.500 0.500 0.500
Pd1 0.000 0.500 0.000
Pd2 0.000 0.000 0.500
Pd3 0.500 0.000 0.000

No. 7
Density functional theory data (GGA-PBE) for a geometry-optimized B2PdSe structure.

Properties
* size of the total moment: 0.00 μB per formula unit
* E_form (uncorrected): 0.489 eV per atom
* raw total energy: -5.02 eV/atom

Unit cell a=5.031 b=5.031 c=5.686 alpha=63.75 beta=63.75 gamma=90.00
Fractional positions:
B1 0.622 0.125 0.250
B2 0.128 0.625 0.250
B3 0.375 0.378 0.750
B4 0.875 0.872 0.750
Se1 0.500 0.500 0.000
Se2 0.250 0.750 0.500
Pd1 0.000 0.000 0.000
Pd2 0.750 0.250 0.500

No. 8
Density functional theory data (GGA-PBE) for a geometry-optimized B2PdSe6 structure.

Properties
* size of the total moment: 0.00 μB per formula unit
* E_form (uncorrected): -0.033 eV per atom
* raw total energy: -4.42 eV/atom

Unit cell a=6.328 b=7.884 c=7.884 alpha=79.04 beta=81.30 gamma=81.30
Fractional positions:
B1 0.139 0.657 0.804
B2 0.361 0.196 0.343
B3 0.861 0.343 0.196
B4 0.639 0.804 0.657
Pd1 0.250 0.115 0.885
Pd2 0.750 0.885 0.115
Se1 0.357 0.737 0.592
Se2 0.143 0.408 0.263
Se3 0.643 0.263 0.408
Se4 0.857 0.592 0.737
Se5 0.818 0.901 0.426
Se6 0.682 0.574 0.099
Se7 0.182 0.099 0.574
Se8 0.318 0.426 0.901
Se9 0.133 0.802 0.993
Se10 0.367 0.007 0.198
Se11 0.867 0.198 0.007
Se12 0.633 0.993 0.802

No. 9
Density functional theory data (GGA-PBE) for a geometry-optimized BPd3Se structure.

Properties
* size of the total moment: 0.00 μB per formula unit
* E_form (uncorrected): -0.156 eV per atom
* raw total energy: -5.30 eV/atom

Unit cell a=3.319 b=6.672 c=7.313 alpha=104.55 beta=95.12 gamma=96.85
Fractional positions:
B1 0.218 0.412 0.640
B2 0.826 0.742 0.781
Pd1 0.085 0.133 0.419
Pd2 0.339 0.867 0.662
Pd3 0.705 0.287 0.760
Pd4 0.959 0.021 0.002
Pd5 0.332 0.635 0.927
Pd6 0.712 0.519 0.494
Se1 0.495 0.835 0.316
Se2 0.549 0.319 0.105

No. 10
Density functional theory data (GGA-PBE) for a geometry-optimized BPd2Se structure.

Properties
* size of the total moment: 0.00 μB per formula unit
* E_form (uncorrected): 0.119 eV per atom
* raw total energy: -5.02 eV/atom

Unit cell a=4.929 b=4.929 c=6.761 alpha=68.62 beta=68.62 gamma=90.00
Fractional positions:
B1 0.500 0.500 0.000
B2 0.250 0.750 0.500
Se1 0.000 0.000 0.000
Se2 0.750 0.250 0.500
Pd1 0.543 0.125 0.250
Pd2 0.207 0.625 0.250
Pd3 0.375 0.457 0.750
Pd4 0.875 0.793 0.750

No. 11
Density functional theory data (GGA-PBE) for a geometry-optimized BPd2Se4 structure.

Properties
* size of the total moment: 0.00 μB per formula unit
* E_form (uncorrected): -0.089 eV per atom
* raw total energy: -4.52 eV/atom

Unit cell a=6.326 b=6.326 c=5.923 alpha=122.28 beta=122.28 gamma=90.00
Fractional positions:
B1 0.500 0.500 0.000
Pd1 0.750 0.250 0.500
Pd2 0.250 0.750 0.500
Se1 0.831 0.428 0.259
Se2 0.428 0.831 0.259
Se3 0.572 0.572 0.741
Se4 0.169 0.169 0.741

No. 12
Density functional theory data (GGA-PBE) for a geometry-optimized BPd2Se structure.

Properties
* size of the total moment: 0.00 μB per formula unit
* E_form (uncorrected): 0.527 eV per atom
* raw total energy: -4.61 eV/atom

Unit cell a=4.313 b=4.313 c=4.313 alpha=60.00 beta=60.00 gamma=60.00
Fractional positions:
B1 0.000 0.000 0.000
Se1 0.500 0.500 0.500
Pd1 0.250 0.250 0.250
Pd2 0.750 0.750 0.750